Entry 1:
TlPb5 (SCAN, PBEsol geometry); crystal system = orthorhombic; offset from the most stable computed form = 0.016 eV/atom
1.0
5.726 0.000 0.000
0.000 3.449 0.000
0.000 0.000 18.017
Tl Pb
2 10
Direct
0.000 0.000 0.000 Tl
0.000 0.500 0.500 Tl
0.000 0.000 0.331 Pb
0.000 0.000 0.666 Pb
0.000 0.500 0.166 Pb
0.000 0.500 0.831 Pb
0.500 0.000 0.223 Pb
0.500 0.000 0.557 Pb
0.500 0.000 0.889 Pb
0.500 0.500 0.057 Pb
0.500 0.500 0.389 Pb
0.500 0.500 0.723 Pb

=====

Entry 2:
Tl8Pb (SCAN, PBEsol geometry); crystal system = tetragonal
1.0
-5.081 5.081 2.450
5.081 -5.081 2.450
5.081 5.081 -2.450
Tl Pb
8 1
Direct
0.000 0.333 0.333 Tl
0.000 0.667 0.667 Tl
0.333 0.000 0.333 Tl
0.334 0.334 0.667 Tl
0.334 0.666 0.000 Tl
0.666 0.334 0.000 Tl
0.666 0.666 0.333 Tl
0.667 0.000 0.667 Tl
0.000 0.000 0.000 Pb

=====

Let's list total magnetization in order: 0.00 0.00 μB per cell.
Let's list formation energy from the elements in order: 0.01 0.01 eV/atom.